(1)
# PBE-GGA La3SnRu, relaxed
# ΔE to the lowest computed polymorph: 41 meV/atom
# M_tot: 0.00 μB/f.u.
# Formation energy from the elements: -45.73 kJ per mole of atoms
# Total energy: -6.086 eV/atom
data_La3SnRu
_cell_length_a 5.447
_cell_length_b 5.447
_cell_length_c 5.447
_cell_angle_alpha 90.00
_cell_angle_beta 90.00
_cell_angle_gamma 90.00
_symmetry_space_group_name_H-M 'P m -3 m'
_symmetry_Int_Tables_number 221
_symmetry_space_group_name_Hall '-P 4 2 3'
loop_
_atom_site_label
_atom_site_type_symbol
_atom_site_fract_x
_atom_site_fract_y
_atom_site_fract_z
La1 La 0.000 0.000 0.500
Sn1 Sn 0.500 0.500 0.500
Ru1 Ru 0.000 0.000 0.000

=====

(2)
# PBE-GGA LaSn3Ru3, relaxed
# M_tot: 0.14 μB/f.u.
# Formation energy from the elements: 32.65 kJ per mole of atoms
# Total energy: -6.056 eV/atom
data_LaSn3Ru3
_cell_length_a 7.172
_cell_length_b 7.172
_cell_length_c 7.172
_cell_angle_alpha 90.00
_cell_angle_beta 90.00
_cell_angle_gamma 90.00
_symmetry_space_group_name_H-M 'P m -3 n'
_symmetry_Int_Tables_number 223
_symmetry_space_group_name_Hall '-P 4n 2 3'
loop_
_atom_site_label
_atom_site_type_symbol
_atom_site_fract_x
_atom_site_fract_y
_atom_site_fract_z
La1 La 0.000 0.000 0.000
Sn1 Sn 0.000 0.250 0.500
Ru1 Ru 0.000 0.500 0.250

=====

(3)
# PBE-GGA La3SnRu, relaxed
# ΔE to the lowest computed polymorph: 131 meV/atom
# M_tot: 0.00 μB/f.u.
# Formation energy from the elements: -37.14 kJ per mole of atoms
# Total energy: -5.997 eV/atom
data_La3SnRu
_cell_length_a 8.7687
_cell_length_b 8.7687
_cell_length_c 13.1565
_cell_angle_alpha 90.00
_cell_angle_beta 90.00
_cell_angle_gamma 120.00
_symmetry_space_group_name_H-M 'R -3'
_symmetry_Int_Tables_number 148
_symmetry_space_group_name_Hall '-R 3'
loop_
_atom_site_label
_atom_site_type_symbol
_atom_site_fract_x
_atom_site_fract_y
_atom_site_fract_z
La1 La 0.0071 0.6957 0.0979
Sn1 Sn 0.0000 0.0000 0.3213
Ru1 Ru 0.0000 0.0000 0.1030